Here is a relaxed structure of MgZn4Rh5 from the Alexandria database. Energies are from PBE.

Geometry as CIF:
```
data_MgZn4Rh5
_symmetry_space_group_name_H-M 'P 4/m m m'
_symmetry_Int_Tables_number 123
_symmetry_space_group_name_Hall '-P 4 2'
_cell_length_a 3.050
_cell_length_b 3.050
_cell_length_c 15.136
_cell_angle_alpha 90.00
_cell_angle_beta 90.00
_cell_angle_gamma 90.00
loop_
_atom_site_label
_atom_site_type_symbol
_atom_site_fract_x
_atom_site_fract_y
_atom_site_fract_z
_atom_site_occupancy
Mg1 Mg 0.000 0.000 0.000 1
Zn1 Zn 0.000 0.000 0.204 1
Zn2 Zn 0.000 0.000 0.401 1
Rh1 Rh 0.500 0.500 0.107 1
Rh2 Rh 0.500 0.500 0.302 1
Rh3 Rh 0.500 0.500 0.500 1
```

***

Here is a relaxed structure of Mg8Zn2Rh from the Alexandria database. Energies are from PBE.

Geometry as CIF:
```
data_Mg8Zn2Rh
_symmetry_space_group_name_H-M 'C 1 2/m 1'
_symmetry_Int_Tables_number 12
_cell_length_a 15.241
_cell_length_b 4.612
_cell_length_c 6.692
_cell_angle_alpha 90.00
_cell_angle_beta 113.51
_cell_angle_gamma 90.00
loop_
_symmetry_equiv_pos_as_xyz
'x,y,z'
'-x,-y,-z'
'-x,y,-z'
'x,-y,z'
'x+1/2,y+1/2,z'
'-x+1/2,-y+1/2,-z'
'-x+1/2,y+1/2,-z'
'x+1/2,-y+1/2,z'
loop_
_atom_site_label
_atom_site_type_symbol
_atom_site_fract_x
_atom_site_fract_y
_atom_site_fract_z
_atom_site_occupancy
Mg1 Mg 0.020 0.000 0.285 1
Mg2 Mg 0.104 0.500 0.929 1
Mg3 Mg 0.160 0.500 0.423 1
Mg4 Mg 0.181 0.000 0.745 1
Zn1 Zn 0.184 0.000 0.173 1
Rh1 Rh 0.000 0.500 0.500 1
```

***

Here is a relaxed structure of MgZn2Rh2 from the Alexandria database. Energies are from PBE.

Geometry as CIF:
```
data_MgZn2Rh2
_symmetry_space_group_name_H-M 'I 4/m m m'
_symmetry_Int_Tables_number 139
_symmetry_space_group_name_Hall '-I 4 2'
_cell_length_a 3.680
_cell_length_b 3.680
_cell_length_c 12.151
_cell_angle_alpha 90.00
_cell_angle_beta 90.00
_cell_angle_gamma 90.00
loop_
_atom_site_label
_atom_site_type_symbol
_atom_site_fract_x
_atom_site_fract_y
_atom_site_fract_z
_atom_site_occupancy
Mg1 Mg 0.000 0.000 0.000 1
Zn1 Zn 0.000 0.500 0.250 1
Rh1 Rh 0.000 0.000 0.394 1
```

***

Here is a relaxed structure of MgZnRh from the Alexandria database. Energies are from PBE.

Geometry as CIF:
```
data_MgZnRh
_symmetry_space_group_name_H-M 'I m m a'
_symmetry_Int_Tables_number 74
_symmetry_space_group_name_Hall '-I 2b 2'
_cell_length_a 4.965
_cell_length_b 5.684
_cell_length_c 6.847
_cell_angle_alpha 90.00
_cell_angle_beta 90.00
_cell_angle_gamma 90.00
loop_
_atom_site_label
_atom_site_type_symbol
_atom_site_fract_x
_atom_site_fract_y
_atom_site_fract_z
_atom_site_occupancy
Mg1 Mg 0.000 0.250 0.137 1
Zn1 Zn 0.250 0.250 0.750 1
Rh1 Rh 0.000 0.000 0.500 1
```

***

Here is a relaxed structure of MgZn2Rh from the Alexandria database. Energies are from PBE.

Geometry as CIF:
```
data_MgZn2Rh
_symmetry_space_group_name_H-M 'C 1 2/m 1'
_symmetry_Int_Tables_number 12
_cell_length_a 5.267
_cell_length_b 8.720
_cell_length_c 2.849
_cell_angle_alpha 90.00
_cell_angle_beta 111.68
_cell_angle_gamma 90.00
loop_
_symmetry_equiv_pos_as_xyz
'x,y,z'
'-x,-y,-z'
'-x,y,-z'
'x,-y,z'
'x+1/2,y+1/2,z'
'-x+1/2,-y+1/2,-z'
'-x+1/2,y+1/2,-z'
'x+1/2,-y+1/2,z'
loop_
_atom_site_label
_atom_site_type_symbol
_atom_site_fract_x
_atom_site_fract_y
_atom_site_fract_z
_atom_site_occupancy
Mg1 Mg 0.000 0.000 0.000 1
Zn1 Zn 0.250 0.250 0.500 1
Rh1 Rh 0.000 0.500 0.000 1
```

***

Here is a relaxed structure of Mg3Zn8Rh from the Alexandria database. Energies are from PBE.

Geometry as CIF:
```
data_Mg3Zn8Rh
_symmetry_space_group_name_H-M 'R 3 m'
_symmetry_Int_Tables_number 160
_symmetry_space_group_name_Hall 'R 3 -2"'
_cell_length_a 5.1008
_cell_length_b 5.1008
_cell_length_c 25.0061
_cell_angle_alpha 90.00
_cell_angle_beta 90.00
_cell_angle_gamma 120.00
loop_
_atom_site_label
_atom_site_type_symbol
_atom_site_fract_x
_atom_site_fract_y
_atom_site_fract_z
_atom_site_occupancy
Mg1 Mg 0.0000 0.0000 0.0000 1
Mg2 Mg 0.0000 0.0000 0.1296 1
Mg3 Mg 0.0000 0.0000 0.6168 1
Zn1 Zn 0.0000 0.0000 0.3129 1
Zn2 Zn 0.0000 0.0000 0.8130 1
Zn3 Zn 0.9996 0.4998 0.5605 1
Zn4 Zn 0.0040 0.5020 0.0652 1
Rh1 Rh 0.0000 0.0000 0.4991 1
```

***

Here is a relaxed structure of MgZnRh from the Alexandria database. Energies are from PBE.

Geometry as CIF:
```
data_MgZnRh
_symmetry_space_group_name_H-M 'C 1 m 1'
_symmetry_Int_Tables_number 8
_cell_length_a 8.597
_cell_length_b 4.088
_cell_length_c 5.397
_cell_angle_alpha 90.00
_cell_angle_beta 106.85
_cell_angle_gamma 90.00
loop_
_symmetry_equiv_pos_as_xyz
'x,y,z'
'x,-y,z'
'x+1/2,y+1/2,z'
'x+1/2,-y+1/2,z'
loop_
_atom_site_label
_atom_site_type_symbol
_atom_site_fract_x
_atom_site_fract_y
_atom_site_fract_z
_atom_site_occupancy
Mg1 Mg 0.000 0.000 0.000 1
Mg2 Mg 0.196 0.500 0.330 1
Zn1 Zn 0.020 0.000 0.510 1
Zn2 Zn 0.332 0.000 0.705 1
Rh1 Rh 0.151 0.500 0.807 1
Rh2 Rh 0.370 0.000 0.216 1
```

***

Here is a relaxed structure of MgZn5Rh from the Alexandria database. Energies are from PBE.

Geometry as CIF:
```
data_MgZn5Rh
_symmetry_space_group_name_H-M 'C m m m'
_symmetry_Int_Tables_number 65
_symmetry_space_group_name_Hall '-C 2 2'
_cell_length_a 5.131
_cell_length_b 8.171
_cell_length_c 5.503
_cell_angle_alpha 90.00
_cell_angle_beta 90.00
_cell_angle_gamma 90.00
loop_
_atom_site_label
_atom_site_type_symbol
_atom_site_fract_x
_atom_site_fract_y
_atom_site_fract_z
_atom_site_occupancy
Mg1 Mg 0.000 0.000 0.000 1
Zn1 Zn 0.000 0.000 0.500 1
Zn2 Zn 0.250 0.250 0.260 1
Rh1 Rh 0.000 0.500 0.500 1
```

***

For the records above, the corresponding DFT formation energy values read -0.397 -0.153 -0.159 -0.426 -0.222 -0.175 -0.422 -0.082 eV/atom.